(1)
NdTmThAl | GGA-PBE | relaxed

Lattice parameters (Å, degrees): 7.6683 7.6683 7.6683 90.00 90.00 90.00
Space group F-43m (No. 216)
Unique sites:
Nd  0.0000  0.0000  0.0000
Tm  0.2500  0.2500  0.7500
Th  0.0000  0.0000  0.5000
Al  0.2500  0.2500  0.2500

Properties
formation energy: -0.02 eV per atom
DOS(E_F): 0.98 states/eV/atom
crystal system: cubic
theoretical density: 8.429 Mg/m³

(2)
CaFe2SiRh | GGA-PBE | relaxed

Lattice parameters (Å, degrees): 4.3152 4.3152 4.9627 90.00 90.00 90.00
Space group P4/mmm (No. 123)
Unique sites:
Ca  0.0000  0.0000  0.0000
Fe  0.0000  0.5000  0.0000
Si  0.0000  0.0000  0.5000
Rh  0.5000  0.5000  0.5000

Properties
DOS(E_F): 0.97 states/eV/atom
crystal system: tetragonal
theoretical density: 5.081 Mg/m³
uncorrected formation energy: 1.975 eV per atom

(3)
CoHg2Se | GGA-PBE | relaxed

Lattice parameters (Å, degrees): 3.0772 4.3997 12.5478 90.00 90.00 90.00
Space group Amm2 (No. 38)
Unique sites:
Co  0.0000  0.0000  0.0000
Hg  0.0000  0.0000  0.7869
Hg  0.5000  0.0000  0.4541
Se  0.5000  0.0000  0.1363

Properties
DOS(E_F): 0.90 states/eV/atom
crystal system: orthorhombic
theoretical density: 10.539 Mg/m³
uncorrected formation energy: 0.121 eV per atom